The following is a DFT calculation (PBE) of a relaxed UZnAg2O6 crystal.

Output
M_tot in μB per cell: 0.00
DOS(E_F) in states/eV per cell: 6.05
Space group: C2/m
E in eV/atom: -6.197

Unit cell a=5.914 b=5.914 c=5.432 alpha=115.27 beta=115.27 gamma=59.11
Sites, in units of the cell vectors:
U1 0.000 0.000 0.000
Zn1 0.500 0.500 0.500
Ag1 0.252 0.252 0.667
Ag2 0.748 0.748 0.333
O1 0.183 0.658 0.659
O2 0.192 0.192 0.028
O3 0.342 0.817 0.341
O4 0.658 0.183 0.659
O5 0.808 0.808 0.972
O6 0.817 0.342 0.341

---

The following is a DFT calculation (PBE) of a relaxed UZn2AgO6 crystal.

Output
M_tot in μB per cell: 1.91
DOS(E_F) in states/eV per cell: 3.69
Space group: C2/c
E in eV/atom: -6.302

Unit cell a=7.067 b=7.067 c=6.207 alpha=109.93 beta=109.93 gamma=74.42
Sites, in units of the cell vectors:
U1 0.229 0.771 0.750
U2 0.771 0.229 0.250
Zn1 0.209 0.269 0.801
Zn2 0.269 0.209 0.301
Zn3 0.731 0.791 0.699
Zn4 0.791 0.731 0.199
Ag1 0.334 0.666 0.250
Ag2 0.666 0.334 0.750
O1 0.080 0.174 0.456
O2 0.146 0.573 0.886
O3 0.174 0.080 0.956
O4 0.262 0.513 0.467
O5 0.427 0.854 0.614
O6 0.487 0.738 0.033
O7 0.513 0.262 0.967
O8 0.573 0.146 0.386
O9 0.738 0.487 0.533
O10 0.826 0.920 0.044
O11 0.854 0.427 0.114
O12 0.920 0.826 0.544